Entry 1:
First-principles (PBEsol) data for an optimized crystal structure of Li6Hf2O7, as listed in the Alexandria database.

a = 5.2699 Å, b = 5.9790 Å, c = 9.7700 Å
α = 90.00°, β = 100.45°, γ = 90.00°
Atoms (fractional coordinates):
Li 0.6460 0.2227 0.8579
Li 0.6435 0.7695 0.8607
Li 0.4582 0.0036 0.6245
Li 0.1460 0.2773 0.3579
Li 0.8565 0.2695 0.6393
Li 0.8540 0.7227 0.6421
Li 0.5418 0.9964 0.3755
Li 0.3540 0.7773 0.1421
Li 0.1435 0.7305 0.3607
Li 0.0418 0.5036 0.8755
Li 0.9582 0.4964 0.1245
Li 0.3565 0.2305 0.1393
O 0.9961 0.7661 0.0020
O 0.4961 0.7339 0.5020
O 0.2847 0.5040 0.2443
O 0.2153 0.0040 0.2557
O 0.7153 0.4960 0.7557
O 0.5000 0.0000 0.0000
O 0.7459 0.7670 0.2579
O 0.0000 0.5000 0.5000
O 0.7847 0.9960 0.7443
O 0.2541 0.2330 0.7421
O 0.2459 0.7330 0.7579
O 0.5039 0.2661 0.4980
O 0.0039 0.2339 0.9980
O 0.7541 0.2670 0.2421
Hf 0.3646 0.4965 0.6331
Hf 0.8646 0.0035 0.1331
Hf 0.1354 0.9965 0.8669
Hf 0.6354 0.5035 0.3669

Computed properties:
The value obtained for the formation energy from raw total energies is -2673 meV/atom.

---

Entry 2:
First-principles (PBEsol) data for an optimized crystal structure of Li2Hf2O5, as listed in the Alexandria database.

a = 3.7882 Å, b = 10.2587 Å, c = 10.7001 Å
α = 104.86°, β = 90.00°, γ = 90.00°
Atoms (fractional coordinates):
Li 0.2145 0.2471 0.1686
Li 0.2424 0.4108 0.4376
Li 0.2855 0.7471 0.6686
Li 0.7576 0.5892 0.5624
Li 0.2576 0.9108 0.9376
Li 0.7855 0.7529 0.8314
Li 0.7145 0.2529 0.3314
Li 0.7424 0.0892 0.0624
Hf 0.6981 0.8073 0.1340
Hf 0.3429 0.5276 0.8584
Hf 0.6571 0.4724 0.1416
Hf 0.8429 0.9724 0.6416
Hf 0.8019 0.3073 0.6340
Hf 0.1571 0.0276 0.3584
Hf 0.3019 0.1927 0.8660
Hf 0.1981 0.6927 0.3660
O 0.2850 0.7089 0.8397
O 0.3223 0.3896 0.9754
O 0.2524 0.6076 0.5034
O 0.2476 0.1076 0.0034
O 0.7850 0.7911 0.6603
O 0.7476 0.3924 0.4966
O 0.7150 0.2911 0.1603
O 0.6791 0.9946 0.2755
O 0.3209 0.0054 0.7245
O 0.8223 0.1104 0.5246
O 0.1922 0.8225 0.2080
O 0.6922 0.6775 0.2920
O 0.2150 0.2089 0.3397
O 0.8209 0.4946 0.7755
O 0.1791 0.5054 0.2245
O 0.6777 0.6104 0.0246
O 0.8078 0.1775 0.7920
O 0.7524 0.8924 0.9966
O 0.1777 0.8896 0.4754
O 0.3078 0.3225 0.7080

Computed properties:
For the energy above the most stable polymorph in this dataset, the calculation gives 25 meV/atom. The value obtained for the formation energy from raw total energies is -2993 meV/atom.

---

Please write out number 2 again, unchanged.
First-principles (PBEsol) data for an optimized crystal structure of Li2Hf2O5, as listed in the Alexandria database.

a = 3.7882 Å, b = 10.2587 Å, c = 10.7001 Å
α = 104.86°, β = 90.00°, γ = 90.00°
Atoms (fractional coordinates):
Li 0.2145 0.2471 0.1686
Li 0.2424 0.4108 0.4376
Li 0.2855 0.7471 0.6686
Li 0.7576 0.5892 0.5624
Li 0.2576 0.9108 0.9376
Li 0.7855 0.7529 0.8314
Li 0.7145 0.2529 0.3314
Li 0.7424 0.0892 0.0624
Hf 0.6981 0.8073 0.1340
Hf 0.3429 0.5276 0.8584
Hf 0.6571 0.4724 0.1416
Hf 0.8429 0.9724 0.6416
Hf 0.8019 0.3073 0.6340
Hf 0.1571 0.0276 0.3584
Hf 0.3019 0.1927 0.8660
Hf 0.1981 0.6927 0.3660
O 0.2850 0.7089 0.8397
O 0.3223 0.3896 0.9754
O 0.2524 0.6076 0.5034
O 0.2476 0.1076 0.0034
O 0.7850 0.7911 0.6603
O 0.7476 0.3924 0.4966
O 0.7150 0.2911 0.1603
O 0.6791 0.9946 0.2755
O 0.3209 0.0054 0.7245
O 0.8223 0.1104 0.5246
O 0.1922 0.8225 0.2080
O 0.6922 0.6775 0.2920
O 0.2150 0.2089 0.3397
O 0.8209 0.4946 0.7755
O 0.1791 0.5054 0.2245
O 0.6777 0.6104 0.0246
O 0.8078 0.1775 0.7920
O 0.7524 0.8924 0.9966
O 0.1777 0.8896 0.4754
O 0.3078 0.3225 0.7080

Computed properties:
For the energy above the most stable polymorph in this dataset, the calculation gives 25 meV/atom. The value obtained for the formation energy from raw total energies is -2993 meV/atom.

---

Copy entry 2 word for word.
First-principles (PBEsol) data for an optimized crystal structure of Li2Hf2O5, as listed in the Alexandria database.

a = 3.7882 Å, b = 10.2587 Å, c = 10.7001 Å
α = 104.86°, β = 90.00°, γ = 90.00°
Atoms (fractional coordinates):
Li 0.2145 0.2471 0.1686
Li 0.2424 0.4108 0.4376
Li 0.2855 0.7471 0.6686
Li 0.7576 0.5892 0.5624
Li 0.2576 0.9108 0.9376
Li 0.7855 0.7529 0.8314
Li 0.7145 0.2529 0.3314
Li 0.7424 0.0892 0.0624
Hf 0.6981 0.8073 0.1340
Hf 0.3429 0.5276 0.8584
Hf 0.6571 0.4724 0.1416
Hf 0.8429 0.9724 0.6416
Hf 0.8019 0.3073 0.6340
Hf 0.1571 0.0276 0.3584
Hf 0.3019 0.1927 0.8660
Hf 0.1981 0.6927 0.3660
O 0.2850 0.7089 0.8397
O 0.3223 0.3896 0.9754
O 0.2524 0.6076 0.5034
O 0.2476 0.1076 0.0034
O 0.7850 0.7911 0.6603
O 0.7476 0.3924 0.4966
O 0.7150 0.2911 0.1603
O 0.6791 0.9946 0.2755
O 0.3209 0.0054 0.7245
O 0.8223 0.1104 0.5246
O 0.1922 0.8225 0.2080
O 0.6922 0.6775 0.2920
O 0.2150 0.2089 0.3397
O 0.8209 0.4946 0.7755
O 0.1791 0.5054 0.2245
O 0.6777 0.6104 0.0246
O 0.8078 0.1775 0.7920
O 0.7524 0.8924 0.9966
O 0.1777 0.8896 0.4754
O 0.3078 0.3225 0.7080

Computed properties:
For the energy above the most stable polymorph in this dataset, the calculation gives 25 meV/atom. The value obtained for the formation energy from raw total energies is -2993 meV/atom.

---

Which of these has the highest formation energy from raw total energies? Li6Hf2O7